No. 1
Below is YBiF2 after structural relaxation, with properties calculated at the PBE level.

Calculated values
Formation energy without anion corrections ... -1.65 eV/atom
Total moment ... 0.00 μB/cell
Energy above the lowest structure with this stoichiometry ... 927 meV/atom
SG ... Fm-3m
ρ ... 7.583 g cm⁻³

a = 4.7029 Å, b = 4.7029 Å, c = 4.7029 Å
α = 60.00°, β = 60.00°, γ = 60.00°
Fractional positions:
Y 0.0000 0.0000 0.0000
F 0.2500 0.2500 0.2500
F 0.7500 0.7500 0.7500
Bi 0.5000 0.5000 0.5000

---

No. 2
Below is SbTe2PtF after structural relaxation, with properties calculated at the PBE level.

Calculated values
Formation energy without anion corrections ... 0.17 eV/atom
Total moment ... 0.00 μB/cell
Energy above the lowest structure with this stoichiometry ... 0 meV/atom
SG ... P4/mmm
ρ ... 6.598 g cm⁻³

a = 5.3161 Å, b = 5.3161 Å, c = 5.2638 Å
α = 90.00°, β = 90.00°, γ = 90.00°
Fractional positions:
Sb 0.0000 0.0000 0.5000
Te 0.5000 0.0000 0.0000
Te 0.0000 0.5000 0.0000
F 0.5000 0.5000 0.5000
Pt 0.0000 0.0000 0.0000

---

No. 3
Below is LiLaHgW2 after structural relaxation, with properties calculated at the PBE level.

Calculated values
DFT total energy ... -22.63 eV for the cell shown
Total moment ... 0.00 μB/cell
SG ... P4/mmm
ρ ... 8.025 g cm⁻³

a = 5.0652 Å, b = 5.7592 Å, c = 5.0652 Å
α = 90.00°, β = 90.00°, γ = 90.00°
Fractional positions:
W 0.5000 0.0000 0.0000
La 0.0000 0.5000 0.0000
Li 0.5000 0.5000 0.5000
W 0.0000 0.0000 0.5000
Hg 0.0000 0.0000 0.0000

---

No. 4
Below is Ba2AlCrSi after structural relaxation, with properties calculated at the PBE level.

Calculated values
Formation energy without anion corrections ... 0.58 eV/atom
Total moment ... 0.00 μB/cell
Energy above the lowest structure with this stoichiometry ... 0 meV/atom
SG ... P4/mmm
ρ ... 4.081 g cm⁻³

a = 5.7788 Å, b = 5.7788 Å, c = 4.6506 Å
α = 90.00°, β = 90.00°, γ = 90.00°
Fractional positions:
Cr 0.0000 0.0000 0.0000
Ba 0.0000 0.5000 0.0000
Si 0.0000 0.0000 0.5000
Al 0.5000 0.5000 0.5000
Ba 0.5000 0.0000 0.0000

---

No. 5
Below is PmDy6Er3Sc2 after structural relaxation, with properties calculated at the PBE level.

Calculated values
DFT total energy ... -58.28 eV for the cell shown
Total moment ... 0.00 μB/cell
SG ... C2/m
ρ ... 7.849 g cm⁻³

a = 6.0537 Å, b = 6.0537 Å, c = 11.5802 Å
α = 94.97°, β = 94.97°, γ = 119.95°
Fractional positions:
Dy 0.7471 0.7471 0.2472
Pm 0.0000 0.0000 0.0000
Er 0.8329 0.1671 0.5000
Er 0.1671 0.8329 0.5000
Sc 0.6666 0.3334 0.0000
Dy 0.9167 0.5808 0.7528
Dy 0.5808 0.9167 0.7528
Dy 0.0833 0.4192 0.2472
Er 0.5000 0.5000 0.5000
Dy 0.4192 0.0833 0.2472
Sc 0.3334 0.6666 0.0000
Dy 0.2529 0.2529 0.7528

---

No. 6
Below is Tb8Pm5Pb after structural relaxation, with properties calculated at the PBE level.

Calculated values
DFT total energy ... -63.40 eV for the cell shown
Total moment ... 0.00 μB/cell
SG ... C2
ρ ... 7.914 g cm⁻³

a = 8.5478 Å, b = 8.4814 Å, c = 8.5478 Å
α = 114.61°, β = 98.86°, γ = 115.86°
Fractional positions:
Pm 0.8972 0.9612 0.2446
Tb 0.3580 0.2958 0.4970
Tb 0.4944 0.5624 0.2451
Tb 0.5343 0.7944 0.8754
Tb 0.2012 0.7042 0.0622
Tb 0.0809 0.2056 0.7398
Tb 0.6827 0.4376 0.9320
Pm 0.5872 0.0000 0.5872
Pm 0.9775 0.2985 0.1180
Pm 0.8195 0.7015 0.6790
Pm 0.2834 0.0388 0.9360
Tb 0.1005 0.7966 0.4393
Pb 0.0906 0.5000 0.5906
Tb 0.6426 0.2034 0.3038

---

No. 7
Below is CrAsPt2 after structural relaxation, with properties calculated at the PBE level.

Calculated values
DFT total energy ... -26.55 eV for the cell shown
Total moment ... 0.75 μB/cell
SG ... P4/mmm
ρ ... 13.907 g cm⁻³

a = 2.7744 Å, b = 2.7744 Å, c = 8.0216 Å
α = 90.00°, β = 90.00°, γ = 90.01°
Site moments in Bohr magnetons follow the coordinates.
Fractional positions:
Pt 0.0000 0.0000 0.9687  0.01
As 0.5000 0.5000 0.2500  0.00
Pt 0.0000 0.0000 0.5313  0.01
Cr 0.5000 0.5000 0.7500  0.71

---

No. 8
Below is RbZrHgI6 after structural relaxation, with properties calculated at the PBE level.

Calculated values
Formation energy without anion corrections ... -0.84 eV/atom
Total moment ... 0.00 μB/cell
SG ... P1
ρ ... 4.255 g cm⁻³

a = 9.5557 Å, b = 7.9979 Å, c = 7.9166 Å
α = 91.79°, β = 109.69°, γ = 53.21°
Fractional positions:
I 0.0502 0.3994 0.2113
Zr 0.3456 0.3680 0.5128
Hg 0.8690 0.8641 0.9952
I 0.1947 0.7874 0.3369
I 0.1061 0.5601 0.7132
I 0.5022 0.9533 0.7050
I 0.6454 0.3436 0.8013
I 0.5845 0.1652 0.3112
Rb 0.7021 0.5589 0.4131

---

No. 9
Below is Li2CrSb after structural relaxation, with properties calculated at the PBE level.

Calculated values
Formation energy without anion corrections ... 0.26 eV/atom
Total moment ... 3.97 μB/cell
SG ... R3m
ρ ... 3.684 g cm⁻³

a = 9.5134 Å, b = 9.5134 Å, c = 9.5134 Å
α = 19.58°, β = 19.58°, γ = 19.58°
Site moments in Bohr magnetons follow the coordinates.
Fractional positions:
Sb 0.4965 0.4965 0.4965  -0.05
Li 0.2461 0.2461 0.2461  0.01
Cr 0.7530 0.7530 0.7530  3.60
Li 0.0044 0.0044 0.0044  -0.01

---

No. 10
Below is PtSN2F after structural relaxation, with properties calculated at the PBE level.

Calculated values
Formation energy without anion corrections ... 1.54 eV/atom
Total moment ... 0.00 μB/cell
Energy above the lowest structure with this stoichiometry ... 258 meV/atom
SG ... P4/mmm
ρ ... 8.459 g cm⁻³

a = 3.7949 Å, b = 3.7949 Å, c = 3.7370 Å
α = 90.00°, β = 90.00°, γ = 90.00°
Fractional positions:
S 0.0000 0.0000 0.0000
F 0.0000 0.0000 0.5000
N 0.5000 0.0000 0.0000
N 0.0000 0.5000 0.0000
Pt 0.5000 0.5000 0.5000

---

No. 11
Below is LaNd3Mg after structural relaxation, with properties calculated at the PBE level.

Calculated values
Total moment ... 0.00 μB/cell
Energy above the lowest structure with this stoichiometry ... 72 meV/atom
SG ... C2/m
ρ ... 5.839 g cm⁻³

a = 3.6659 Å, b = 10.7783 Å, c = 8.8743 Å
α = 78.95°, β = 90.00°, γ = 99.79°
Fractional positions:
Nd 0.2969 0.5939 0.8159
Nd 0.0313 0.0626 0.2040
Nd 0.9687 0.9374 0.7960
Mg 0.5662 0.1324 0.5080
La 0.3718 0.7436 0.1196
Nd 0.1848 0.3695 0.5486
La 0.6282 0.2564 0.8804
Nd 0.8152 0.6305 0.4514
Mg 0.4338 0.8676 0.4920
Nd 0.7031 0.4061 0.1841

---

No. 12
Below is BaTa after structural relaxation, with properties calculated at the PBE level.

Calculated values
Total moment ... 0.00 μB/cell
Energy above the lowest structure with this stoichiometry ... 700 meV/atom
SG ... R-3m
ρ ... 8.485 g cm⁻³

a = 5.9587 Å, b = 5.9587 Å, c = 12.1546 Å
α = 90.00°, β = 90.00°, γ = 120.00°
Fractional positions:
Ba 0.3333 0.6667 0.9736
Ta 0.6667 0.3333 0.7673
Ba 0.0000 0.0000 0.3594
Ta 0.0000 0.0000 0.1004
Ba 0.3333 0.6667 0.6926
Ta 0.3333 0.6667 0.4336
Ta 0.0000 0.0000 0.8996
Ba 0.6667 0.3333 0.0264
Ba 0.0000 0.0000 0.6406
Ta 0.3333 0.6667 0.2327
Ta 0.6667 0.3333 0.5664
Ba 0.6667 0.3333 0.3074

---

No. 13
Below is Cs2TlInBr5 after structural relaxation, with properties calculated at the PBE level.

Calculated values
Formation energy without anion corrections ... -1.22 eV/atom
Total moment ... 0.00 μB/cell
SG ... P4/mmm
ρ ... 4.196 g cm⁻³

a = 5.5954 Å, b = 5.5954 Å, c = 12.4440 Å
α = 90.00°, β = 90.00°, γ = 90.00°
Fractional positions:
Br 0.0000 0.5000 0.5000
Br 0.5000 0.5000 0.0000
Br 0.0000 0.0000 0.7402
In 0.0000 0.0000 0.5000
Cs 0.5000 0.5000 0.7172
Cs 0.5000 0.5000 0.2828
Br 0.5000 0.0000 0.5000
Tl 0.0000 0.0000 0.0000
Br 0.0000 0.0000 0.2598

---

No. 14
Below is PrH2Rh after structural relaxation, with properties calculated at the PBE level.

Calculated values
Total moment ... 0.00 μB/cell
Energy above the lowest structure with this stoichiometry ... 392 meV/atom
SG ... R-3m
ρ ... 8.054 g cm⁻³

a = 3.7454 Å, b = 3.7454 Å, c = 4.6992 Å
α = 66.51°, β = 66.51°, γ = 60.00°
Fractional positions:
H 0.7097 0.7097 0.8709
H 0.2903 0.2903 0.1291
Rh 0.0000 0.0000 0.0000
Pr 0.5000 0.5000 0.5000

---

No. 15
Below is BiH2Se after structural relaxation, with properties calculated at the PBE level.

Calculated values
Total moment ... 0.00 μB/cell
Energy above the lowest structure with this stoichiometry ... 443 meV/atom
SG ... I-42d
ρ ... 7.369 g cm⁻³

a = 4.3521 Å, b = 4.3521 Å, c = 7.5543 Å
α = 73.26°, β = 73.26°, γ = 90.00°
Fractional positions:
Se 0.2500 0.7500 0.5000
Bi 0.0000 0.0000 0.0000
Bi 0.7500 0.2500 0.5000
H 0.0216 0.6250 0.2500
H 0.7284 0.1250 0.2500
Se 0.5000 0.5000 0.0000
H 0.8750 0.9784 0.7500
H 0.3750 0.2716 0.7500

---

No. 16
Below is TcI2NCl after structural relaxation, with properties calculated at the PBE level.

Calculated values
Formation energy without anion corrections ... 1.72 eV/atom
Total moment ... 4.84 μB/cell
Energy above the lowest structure with this stoichiometry ... 1361 meV/atom
SG ... P4/mmm
ρ ... 4.645 g cm⁻³

a = 6.5297 Å, b = 6.5297 Å, c = 3.3641 Å
α = 90.00°, β = 90.00°, γ = 90.00°
Site moments in Bohr magnetons follow the coordinates.
Fractional positions:
I 0.0000 0.5000 0.0000  0.01
Cl 0.0000 0.0000 0.0000  0.11
I 0.5000 0.0000 0.0000  0.01
Tc 0.5000 0.5000 0.5000  3.69
N 0.0000 0.0000 0.5000  0.27

---

No. 17
Below is TaMn2Sb after structural relaxation, with properties calculated at the PBE level.

Calculated values
Formation energy without anion corrections ... 0.31 eV/atom
Total moment ... 4.96 μB/cell
SG ... C2/m
ρ ... 10.300 g cm⁻³

a = 5.0765 Å, b = 5.2806 Å, c = 2.9488 Å
α = 76.11°, β = 85.33°, γ = 117.26°
Site moments in Bohr magnetons follow the coordinates.
Fractional positions:
Ta 0.5000 0.5000 0.0000  -0.44
Mn 0.0000 0.0000 0.0000  2.74
Sb 0.0000 0.5000 0.5000  -0.03
Mn 0.5000 0.0000 0.5000  2.74

---

No. 18
Below is PrGe2Pd6 after structural relaxation, with properties calculated at the PBE level.

Calculated values
DFT total energy ... -49.70 eV for the cell shown
Total moment ... 0.00 μB/cell
SG ... P6/mmm
ρ ... 8.574 g cm⁻³

a = 5.6089 Å, b = 5.6089 Å, c = 6.5734 Å
α = 90.00°, β = 90.00°, γ = 120.00°
Fractional positions:
Ge 0.6667 0.3333 0.5000
Pd 0.5001 0.5001 0.7890
Pd 0.0000 0.4999 0.7890
Pd 0.4999 0.0000 0.7890
Pd 0.0000 0.5001 0.2110
Pd 0.5001 0.0000 0.2110
Ge 0.3333 0.6667 0.5000
Pr 0.0000 0.0000 0.0000
Pd 0.4999 0.4999 0.2110

---

No. 19
Below is TlNiP2Pd after structural relaxation, with properties calculated at the PBE level.

Calculated values
Total moment ... 0.00 μB/cell
Energy above the lowest structure with this stoichiometry ... 1279 meV/atom
SG ... P4/mmm
ρ ... 6.022 g cm⁻³

a = 5.0114 Å, b = 4.7372 Å, c = 5.0114 Å
α = 90.00°, β = 90.00°, γ = 90.00°
Fractional positions:
Ni 0.0000 0.5000 0.0000
Pd 0.5000 0.5000 0.5000
P 0.5000 0.0000 0.0000
P 0.0000 0.0000 0.5000
Tl 0.0000 0.0000 0.0000

---

No. 20
Below is K6HgAu3 after structural relaxation, with properties calculated at the PBE level.

Calculated values
DFT total energy ... -37.93 eV for the cell shown
Total moment ... 0.00 μB/cell
SG ... P2_1/m
ρ ... 4.116 g cm⁻³

a = 4.8517 Å, b = 12.3555 Å, c = 14.9824 Å
α = 112.79°, β = 90.00°, γ = 90.00°
Fractional positions:
K 0.7500 0.4307 0.0884
K 0.2500 0.8928 0.5711
K 0.7500 0.7342 0.3237
K 0.7500 0.8338 0.0879
Au 0.7500 0.3427 0.8413
K 0.7500 0.4798 0.6088
K 0.2500 0.1662 0.9121
K 0.7500 0.1072 0.4289
K 0.2500 0.5693 0.9116
Hg 0.2500 0.9077 0.2798
K 0.2500 0.1531 0.1974
K 0.2500 0.2658 0.6763
Au 0.2500 0.6573 0.1587
K 0.2500 0.5202 0.3912
K 0.7500 0.8469 0.8026
Au 0.7500 0.6977 0.5365
Au 0.2500 0.9257 0.9719
Au 0.2500 0.3023 0.4635
Hg 0.7500 0.0923 0.7202
Au 0.7500 0.0743 0.0281

---

No. 21
Below is Er2Ga5PdRu2 after structural relaxation, with properties calculated at the PBE level.

Calculated values
DFT total energy ... -105.12 eV for the cell shown
Total moment ... 0.00 μB/cell
SG ... P4/mbm
ρ ... 9.239 g cm⁻³

a = 3.9093 Å, b = 9.5490 Å, c = 9.5490 Å
α = 90.00°, β = 90.00°, γ = 90.00°
Fractional positions:
Pd 0.0000 0.0000 0.0000
Ga 0.5000 0.9414 0.2000
Ga 0.5000 0.3000 0.5586
Ga 0.5000 0.7000 0.4414
Ga 0.5000 0.5586 0.7000
Ga 0.5000 0.5000 0.0000
Pd 0.0000 0.5000 0.5000
Ga 0.5000 0.2000 0.0586
Er 0.0000 0.6806 0.1806
Ga 0.5000 0.8000 0.9414
Ga 0.5000 0.0586 0.8000
Er 0.0000 0.3194 0.8194
Ga 0.5000 0.4414 0.3000
Er 0.0000 0.8194 0.6806
Ru 0.0000 0.8824 0.3824
Er 0.0000 0.1806 0.3194
Ga 0.5000 0.0000 0.5000
Ru 0.0000 0.3824 0.1176
Ru 0.0000 0.1176 0.6176
Ru 0.0000 0.6176 0.8824

---

No. 22
Below is CaMg2Tl after structural relaxation, with properties calculated at the PBE level.

Calculated values
Total moment ... 0.00 μB/cell
Energy above the lowest structure with this stoichiometry ... 65 meV/atom
SG ... C2/m
ρ ... 4.480 g cm⁻³

a = 6.3029 Å, b = 6.3029 Å, c = 5.2878 Å
α = 65.70°, β = 65.70°, γ = 34.98°
Fractional positions:
Mg 0.0190 0.0190 0.9811
Ca 0.2500 0.2500 0.2500
Mg 0.4810 0.4810 0.5189
Tl 0.7500 0.7500 0.7500

---

No. 23
Below is ZrIn2Bi2 after structural relaxation, with properties calculated at the PBE level.

Calculated values
DFT total energy ... -42.41 eV for the cell shown
Total moment ... 0.00 μB/cell
SG ... P4/mbm
ρ ... 8.448 g cm⁻³

a = 7.8639 Å, b = 7.8639 Å, c = 4.6968 Å
α = 90.00°, β = 90.00°, γ = 90.00°
Fractional positions:
Bi 0.3518 0.8518 0.0000
In 0.6642 0.8358 0.5000
Bi 0.8518 0.6482 0.0000
In 0.1642 0.6642 0.5000
Zr 0.0000 0.0000 0.0000
Bi 0.1482 0.3518 0.0000
Bi 0.6482 0.1482 0.0000
Zr 0.5000 0.5000 0.0000
In 0.3358 0.1642 0.5000
In 0.8358 0.3358 0.5000

---

No. 24
Below is AcThSb2 after structural relaxation, with properties calculated at the PBE level.

Calculated values
Formation energy without anion corrections ... -0.94 eV/atom
Total moment ... 0.58 μB/cell
Energy above the lowest structure with this stoichiometry ... 118 meV/atom
SG ... R3m
ρ ... 8.143 g cm⁻³

a = 4.5057 Å, b = 4.5057 Å, c = 8.5539 Å
α = 74.73°, β = 74.73°, γ = 60.00°
Site moments in Bohr magnetons follow the coordinates.
Fractional positions:
Ac 0.6696 0.6696 0.9911  0.03
Th 0.4978 0.4978 0.5064  0.19
Sb 0.2454 0.2454 0.2639  -0.01
Sb 0.0872 0.0872 0.7385  -0.01